Entry 1:
Pr2CuF after structural relaxation, computed with PBE-GGA.

Properties
For the total energy, the calculation gives -4.955 eV/atom. The value obtained for the energy relative to the elements, uncorrected is -104 kJ/mol of atoms. The density of states at the Fermi level comes out at 3.0 states/eV/f.u. The value obtained for the total magnetic moment is 0.0 Bohr magnetons per cell. The energy above the most stable polymorph in this dataset is 80.0 meV/atom.

Unit cell a=3.9039 b=3.9039 c=21.1823 alpha=90.00 beta=90.00 gamma=120.00
Space group R3m (No. 160, hexagonal axes)
One atom of each set of equivalent atoms:
Pr 0.0000 0.0000 0.0000 [3 per cell]
Pr 0.0000 0.0000 0.1655 [3 per cell]
Cu 0.0000 0.0000 0.5823 [3 per cell]
F 0.0000 0.0000 0.4068 [3 per cell]



Entry 2:
Ca3AlBi after structural relaxation, computed with PBE-GGA.

Properties
For the total energy, the calculation gives -2.788 eV/atom. The density of states at the Fermi level comes out at 7.7 states/eV/f.u. The formation energy comes out at -63 meV/atom. The value obtained for the total magnetic moment is 0.0 Bohr magnetons per cell. The energy above the most stable polymorph in this dataset is 0.0 meV/atom.

Unit cell a=5.709 b=5.709 c=5.709 alpha=90.00 beta=90.00 gamma=90.00
Space group Pm-3m (No. 221)
One atom of each set of equivalent atoms:
Ca 0.000 0.000 0.500 [3 per cell]
Al 0.000 0.000 0.000 [1 per cell]
Bi 0.500 0.500 0.500 [1 per cell]



Entry 3:
LiRuRh after structural relaxation, computed with PBE-GGA.

Properties
For the total energy, the calculation gives -5.783 eV/atom. The density of states at the Fermi level comes out at 3.5 states/eV/f.u. The formation energy comes out at 398 meV/atom. The value obtained for the total magnetic moment is 0.0 Bohr magnetons per cell. The energy above the most stable polymorph in this dataset is 370.5 meV/atom.

Unit cell a=5.736 b=5.736 c=5.736 alpha=90.00 beta=90.00 gamma=90.00
Space group F-43m (No. 216)
One atom of each set of equivalent atoms:
Li 0.000 0.000 0.000 [4 per cell]
Ru 0.000 0.000 0.500 [4 per cell]
Rh 0.250 0.250 0.750 [4 per cell]



Entry 4:
ScSiAu2 after structural relaxation, computed with PBE-GGA.

Properties
For the total energy, the calculation gives -4.969 eV/atom. The value obtained for the energy relative to the elements, uncorrected is -38 kJ/mol of atoms. The density of states at the Fermi level comes out at 1.4 states/eV/f.u. The value obtained for the total magnetic moment is 0.0 Bohr magnetons per cell.

Unit cell a=3.573 b=3.573 c=5.744 alpha=90.00 beta=90.00 gamma=90.00
Space group P4/mmm (No. 123)
One atom of each set of equivalent atoms:
Sc 0.000 0.000 0.000 [1 per cell]
Si 0.000 0.000 0.500 [1 per cell]
Au 0.500 0.500 0.249 [2 per cell]



Entry 5:
RbTl2AgBi after structural relaxation, computed with PBE-GGA.

Properties
For the total energy, the calculation gives -2.430 eV/atom. The density of states at the Fermi level comes out at 2.9 states/eV/f.u. The formation energy comes out at 56 meV/atom. The value obtained for the total magnetic moment is 0.0 Bohr magnetons per cell.

Unit cell a=5.685 b=5.685 c=5.773 alpha=90.00 beta=90.00 gamma=90.00
Space group P4/mmm (No. 123)
One atom of each set of equivalent atoms:
Rb 0.000 0.000 0.000 [1 per cell]
Tl 0.000 0.500 0.500 [2 per cell]
Ag 0.500 0.500 0.500 [1 per cell]
Bi 0.500 0.500 0.000 [1 per cell]



Entry 6:
SrHoCd17 after structural relaxation, computed with PBE-GGA.

Properties
For the total energy, the calculation gives -1.277 eV/atom. The density of states at the Fermi level comes out at 7.3 states/eV/f.u. The formation energy comes out at -129 meV/atom. The value obtained for the total magnetic moment is 0.0 Bohr magnetons per cell.

Unit cell a=10.1396 b=10.1396 c=15.1235 alpha=90.00 beta=90.00 gamma=120.00
Space group R3m (No. 160, hexagonal axes)
One atom of each set of equivalent atoms:
Sr 0.0000 0.0000 0.0000 [3 per cell]
Ho 0.0000 0.0000 0.3386 [3 per cell]
Cd 0.0000 0.0000 0.5590 [3 per cell]
Cd 0.0000 0.0000 0.7557 [3 per cell]
Cd 0.0350 0.3652 0.3324 [18 per cell]
Cd 0.1761 0.3521 0.1415 [9 per cell]
Cd 0.1812 0.3624 0.5047 [9 per cell]
Cd 0.1942 0.3885 0.8503 [9 per cell]



Entry 7:
BeFeHgN2 after structural relaxation, computed with PBE-GGA.

Properties
For the total energy, the calculation gives -4.502 eV/atom. The value obtained for the energy relative to the elements, uncorrected is 128 kJ/mol of atoms. The density of states at the Fermi level comes out at 3.6 states/eV/f.u. The value obtained for the total magnetic moment is 2.8 Bohr magnetons per cell.

Unit cell a=3.624 b=3.624 c=4.548 alpha=90.00 beta=90.00 gamma=90.00
Space group P4/mmm (No. 123)
One atom of each set of equivalent atoms:
Be 0.000 0.000 0.000 [1 per cell]
Fe 0.000 0.000 0.500 [1 per cell]
Hg 0.500 0.500 0.500 [1 per cell]
N 0.000 0.500 0.000 [2 per cell]



Entry 8:
Li2PmSmSe4 after structural relaxation, computed with PBE-GGA.

Properties
For the total energy, the calculation gives -5.079 eV/atom. The value obtained for the energy relative to the elements, uncorrected is -162 kJ/mol of atoms. The value obtained for the total magnetic moment is 0.0 Bohr magnetons per cell.

Unit cell a=6.949 b=4.168 c=7.216 alpha=90.00 beta=110.20 gamma=90.00
Space group P2/m (No. 10)
One atom of each set of equivalent atoms:
Li 0.000 0.000 0.000 [1 per cell]
Li 0.000 0.500 0.500 [1 per cell]
Pm 0.500 0.000 0.500 [1 per cell]
Sm 0.500 0.500 0.000 [1 per cell]
Se 0.242 0.000 0.749 [2 per cell]
Se 0.242 0.500 0.246 [2 per cell]